Run A
Density functional theory data (PBE-GGA) for a relaxed structure of CdHgCl2.

Cell lengths 7.256, 7.256, 7.256 Å; angles 147.53, 147.53, 46.58 degrees
Fractional positions:
1 Cd 0.000 0.000 0.000
2 Hg 0.750 0.250 0.500
3 Cl 0.250 0.750 0.500
4 Cl 0.500 0.500 0.000



Run B
Density functional theory data (PBE-GGA) for a relaxed structure of CdHgCl2.

Cell lengths 3.874, 3.874, 21.738 Å; angles 90.00, 90.00, 120.00 degrees
Fractional positions:
1 Cd 0.000 0.000 0.000
2 Cd 0.000 0.000 0.500
3 Hg 0.333 0.667 0.250
4 Hg 0.667 0.333 0.750
5 Cl 0.333 0.667 0.067
6 Cl 0.333 0.667 0.433
7 Cl 0.667 0.333 0.567
8 Cl 0.667 0.333 0.933



run B wins, 47.3 kJ/mol of atoms ahead of the next structure.